A plane-wave DFT calculation with GGA-PBE was carried out for CsUCo2Br8 after structural relaxation.

Geometry as POSCAR:
```
CsUCo2Br8
1.0
6.8858 0.0000 0.0000
3.4429 5.9633 0.0000
3.4429 1.9878 10.6933
Br Co U Cs
8 2 1 1
Direct
0.6147 0.2815 0.1572
0.7185 0.0534 0.8428
0.8172 0.8172 0.5484
0.1828 0.1828 0.4516
0.9466 0.6147 0.1572
0.3853 0.7185 0.8428
0.0534 0.3853 0.8428
0.2815 0.9466 0.1572
0.2556 0.2556 0.2333
0.7444 0.7444 0.7667
0.0000 0.0000 0.0000
0.5000 0.5000 0.5000
```

Properties
space-group type	No. 148
ρ	4.27	g/cm3
electronic total energy	-4.189	eV/atom
raw formation energy	-20.24	kcal/mol of atoms